Crystalline Pm6Bi2Te3Se at its relaxed geometry, computed with PBE.

Results
Density of states at the Fermi level = 0.32 states/eV per atom
Formation energy from raw total energies = -1.331 eV per atom
Uncorrected energy = -0.199 hartree per atom
Mass density = 7.68 Mg/m³

abc: 4.452 8.942 10.024
angles: 103.11 102.83 90.00
Fractional positions:
Te 0.500 0.500 0.000
Pm 0.654 0.076 0.307
Pm 0.665 0.583 0.331
Bi 0.166 0.333 0.332
Te 0.829 0.163 0.657
Te 0.171 0.837 0.343
Se 0.500 0.000 0.000
Bi 0.834 0.667 0.668
Pm 0.335 0.417 0.669
Pm 0.346 0.924 0.693
Pm 0.002 0.777 0.004
Pm 0.998 0.223 0.996

Crystalline K4CrAu at its relaxed geometry, computed with PBE.

Results
Density of states at the Fermi level = 0.32 states/eV per atom
Uncorrected energy = -0.081 hartree per atom
DFT formation energy = 0.67 eV per atom
Mass density = 2.57 Mg/m³

abc: 7.178 7.178 7.178
angles: 60.00 60.00 60.00
Fractional positions:
Au 0.750 0.750 0.750
K 0.873 0.376 0.376
K 0.376 0.376 0.873
K 0.376 0.376 0.376
Cr 0.000 0.000 0.000
K 0.376 0.873 0.376

Crystalline LuNi5 at its relaxed geometry, computed with PBE.

Results
Density of states at the Fermi level = 1.47 states/eV per atom
Uncorrected energy = -0.212 hartree per atom
DFT formation energy = -0.19 eV per atom
Mass density = 10.15 Mg/m³

abc: 3.716 3.738 5.823
angles: 108.72 90.00 90.00
Fractional positions:
Ni 0.500 0.500 0.000
Lu 0.000 0.000 0.000
Ni 0.500 0.179 0.357
Ni 0.500 0.821 0.643
Ni 0.000 0.676 0.352
Ni 0.000 0.324 0.648

Crystalline Na2TbSmO4 at its relaxed geometry, computed with PBE.

Results
Density of states at the Fermi level = 0.00 states/eV per atom
Formation energy from raw total energies = -2.724 eV per atom
Uncorrected energy = -0.246 hartree per atom
Mass density = 5.88 Mg/m³

abc: 3.492 6.050 5.956
angles: 109.78 90.00 90.00
Fractional positions:
Sm 0.500 0.500 0.000
Na 0.500 0.000 0.500
O 0.500 0.233 0.213
O 0.000 0.743 0.214
O 0.000 0.257 0.786
Na 0.000 0.500 0.500
O 0.500 0.767 0.787
Tb 0.000 0.000 0.000

Crystalline PH2Ru at its relaxed geometry, computed with PBE.

Results
Density of states at the Fermi level = 0.27 states/eV per atom
Uncorrected energy = -0.197 hartree per atom
Energy relative to the lowest polymorph listed for this composition = 62 meV/atom
Mass density = 5.35 Mg/m³

abc: 2.906 3.488 4.617
angles: 109.65 108.14 90.00
Fractional positions:
H 0.821 0.660 0.387
P 0.996 0.812 0.744
Ru 0.574 0.382 0.900
H 0.383 0.212 0.514

Crystalline AsIrC3 at its relaxed geometry, computed with PBE.

Results
Density of states at the Fermi level = 0.84 states/eV per atom
Uncorrected energy = -0.199 hartree per atom
DFT formation energy = 2.83 eV per atom
Energy relative to the lowest polymorph listed for this composition = 600 meV/atom
Mass density = 8.79 Mg/m³

abc: 3.855 3.855 3.855
angles: 90.00 90.00 90.00
Fractional positions:
Ir 0.500 0.500 0.500
C 0.500 0.000 0.000
C 0.000 0.000 0.500
As 0.000 0.000 0.000
C 0.000 0.500 0.000

Crystalline Ta3Nb2Ru at its relaxed geometry, computed with PBE.

Results
Density of states at the Fermi level = 0.76 states/eV per atom
Uncorrected energy = -0.406 hartree per atom
DFT formation energy = -0.21 eV per atom
Energy relative to the lowest polymorph listed for this composition = 0 meV/atom
Mass density = 13.22 Mg/m³

abc: 4.612 7.976 7.976
angles: 119.64 106.83 106.83
Fractional positions:
Nb 0.250 0.249 0.751
Nb 0.250 0.917 0.083
Ta 0.493 0.662 0.824
Ru 0.250 0.582 0.418
Ru 0.750 0.418 0.582
Ta 0.007 0.176 0.338
Nb 0.750 0.083 0.917
Ta 0.507 0.338 0.176
Ta 0.993 0.824 0.662
Nb 0.750 0.751 0.249
Ta 0.000 0.500 0.000
Ta 0.500 0.000 0.500

Crystalline TbPm2Tl4 at its relaxed geometry, computed with PBE.

Results
Density of states at the Fermi level = 1.00 states/eV per atom
Uncorrected energy = -0.133 hartree per atom
DFT formation energy = -0.23 eV per atom
Energy relative to the lowest polymorph listed for this composition = 16 meV/atom
Mass density = 9.53 Mg/m³

abc: 6.600 6.600 6.600
angles: 105.85 111.31 111.31
Fractional positions:
Tl 0.500 0.500 0.500
Pm 0.500 0.000 0.500
Pm 0.500 0.500 0.000
Tl 0.000 0.500 0.000
Tb 0.000 0.000 0.000
Tl 0.500 0.000 0.000
Tl 0.000 0.000 0.500

Crystalline Tb3Ho4Tl4 at its relaxed geometry, computed with PBE.

Results
Density of states at the Fermi level = 1.12 states/eV per atom
Uncorrected energy = -0.147 hartree per atom
DFT formation energy = -0.22 eV per atom
Mass density = 9.93 Mg/m³

abc: 3.707 9.565 10.547
angles: 116.96 100.12 90.00
Fractional positions:
Tl 0.736 0.236 0.472
Tl 0.264 0.764 0.528
Ho 0.335 0.529 0.670
Tl 0.500 0.221 0.000
Ho 0.335 0.141 0.670
Tl 0.500 0.779 0.000
Ho 0.665 0.859 0.330
Tb 0.902 0.902 0.804
Tb 0.000 0.500 0.000
Tb 0.098 0.098 0.196
Ho 0.665 0.471 0.330

Crystalline Pm3Ag3AuO8 at its relaxed geometry, computed with PBE.

Results
Density of states at the Fermi level = 0.09 states/eV per atom
Formation energy from raw total energies = -1.597 eV per atom
Uncorrected energy = -0.220 hartree per atom
Mass density = 6.39 Mg/m³

abc: 7.219 7.160 9.865
angles: 131.61 90.00 120.28
Fractional positions:
O 0.240 0.481 0.647
O 0.229 0.458 0.328
O 0.786 0.058 0.675
O 0.729 0.942 0.325
Ag 0.000 0.500 0.000
Pm 0.000 0.500 0.500
Au 0.000 0.000 0.500
O 0.760 0.519 0.353
Pm 0.500 0.000 0.500
Pm 0.500 0.500 0.500
O 0.271 0.058 0.675
O 0.771 0.542 0.672
O 0.214 0.942 0.325
Ag 0.000 0.000 0.000
Ag 0.500 0.500 0.000

Crystalline CsCePb2 at its relaxed geometry, computed with PBE.

Results
Density of states at the Fermi level = 1.67 states/eV per atom
Uncorrected energy = -0.140 hartree per atom
DFT formation energy = -0.25 eV per atom
Energy relative to the lowest polymorph listed for this composition = 0 meV/atom
Mass density = 7.21 Mg/m³

abc: 4.311 4.311 8.514
angles: 90.00 90.00 90.00
Fractional positions:
Pb 0.000 0.000 0.179
Ce 0.500 0.500 0.000
Pb 0.000 0.000 0.821
Cs 0.500 0.500 0.500

Crystalline TbCd4B3Pt12 at its relaxed geometry, computed with PBE.

Results
Density of states at the Fermi level = 0.45 states/eV per atom
Uncorrected energy = -0.183 hartree per atom
DFT formation energy = 0.06 eV per atom
Mass density = 14.00 Mg/m³

abc: 7.716 7.716 7.716
angles: 109.47 109.47 109.47
Fractional positions:
Pt 0.500 0.750 0.250
Tb 0.000 0.000 0.000
Cd 0.000 0.000 0.500
Pt 0.283 0.000 0.283
Pt 0.500 0.250 0.750
B 0.500 0.500 0.000
Pt 0.717 0.717 0.000
Pt 0.250 0.750 0.500
Cd 0.500 0.000 0.000
Pt 0.750 0.250 0.500
Cd 0.500 0.500 0.500
Pt 0.000 0.283 0.283
Pt 0.000 0.717 0.717
B 0.000 0.500 0.500
Pt 0.717 0.000 0.717
Cd 0.000 0.500 0.000
Pt 0.750 0.500 0.250
B 0.500 0.000 0.500
Pt 0.250 0.500 0.750
Pt 0.283 0.283 0.000